(1)
Density functional theory data (PBE) for Mn2CoRu after structural relaxation.

Computed properties:
The density is 9.4 g/cm3. As for the energy of formation from the pure elements: 0.10 eV/atom. Its total energy is -8.578 eV per atom. The space group is P4mm, No. 99. The value obtained for the spin magnetization is 0.93 μB/cell.

Geometry as POSCAR:
```
Mn2CoRu
1.0
2.581 0.000 0.000
0.000 2.581 0.000
0.000 0.000 7.169
Mn Co Ru
2 1 1
Cartesian
0.000 0.000 0.000 Mn
1.290 1.290 1.745 Mn
1.290 1.290 5.436 Co
0.000 0.000 3.633 Ru
```


(2)
Density functional theory data (PBE) for MnCoRu2 after structural relaxation.

Computed properties:
The energy above the most stable polymorph in this dataset is 30 meV/atom. The density is 10.4 g/cm3. As for the energy of formation from the pure elements: 0.11 eV/atom. Its total energy is -8.600 eV per atom. The space group is Cm, No. 8. The value obtained for the spin magnetization is 1.95 μB/cell.

Geometry as POSCAR:
```
MnCoRu2
1.0
4.339 -1.322 0.000
4.339 1.322 0.000
-0.794 0.000 4.403
Mn Co Ru
1 1 2
Cartesian
0.000 0.000 0.000 Mn
6.299 0.000 1.033 Co
1.566 0.000 3.261 Ru
3.914 0.000 2.131 Ru
```


(3)
Density functional theory data (PBE) for MnCoRu2 after structural relaxation.

Computed properties:
The energy above the most stable polymorph in this dataset is 11 meV/atom. The density is 10.6 g/cm3. As for the energy of formation from the pure elements: 0.09 eV/atom. Its total energy is -8.619 eV per atom. The space group is Amm2, No. 38. The value obtained for the spin magnetization is 0.87 μB/cell.

Geometry as POSCAR:
```
MnCoRu2
1.0
3.974 0.000 0.000
0.000 1.312 4.748
0.000 -1.312 4.748
Mn Co Ru
1 1 2
Cartesian
0.000 0.000 0.000 Mn
1.987 0.000 8.248 Co
0.000 0.000 2.541 Ru
1.987 0.000 5.728 Ru
```